Crystalline PmZr at its relaxed geometry, computed with PBE-GGA.

Output
Its formation energy is 30 kJ/mol of formula units. The value obtained for the total energy is -6.49 eV/atom. The energy above the most stable polymorph in this dataset is 14 kJ/mol of formula units.

Cell lengths 6.9029, 6.9029, 5.4500 Å; angles 90.00, 90.00, 120.00 degrees
Space group P-6m2 (No. 187)
Asymmetric unit:
1 Pm 0.0000 0.0000 0.0000 (multiplicity 1)
2 Pm 0.3431 0.1716 0.5000 (multiplicity 3)
3 Zr 0.0307 0.5154 0.0000 (multiplicity 3)
4 Zr 0.3333 0.6667 0.5000 (multiplicity 1)

=====

Crystalline Hf2NbSn2 at its relaxed geometry, computed with PBE-GGA.

Output
The value obtained for the total energy is -7.35 eV/atom. The energy above the most stable polymorph in this dataset is 0 kJ/mol of formula units.

Cell lengths 4.040, 4.040, 13.778 Å; angles 90.00, 90.00, 90.00 degrees
Space group I4/mmm (No. 139)
Asymmetric unit:
1 Hf 0.000 0.500 0.250 (multiplicity 4)
2 Nb 0.000 0.000 0.000 (multiplicity 2)
3 Sn 0.000 0.000 0.403 (multiplicity 4)

=====

Crystalline BeTlFeTc at its relaxed geometry, computed with PBE-GGA.

Output
The value obtained for the total energy is -5.65 eV/atom. The energy above the most stable polymorph in this dataset is 0 kJ/mol of formula units.

Cell lengths 6.109, 6.109, 6.109 Å; angles 90.00, 90.00, 90.00 degrees
Space group F-43m (No. 216)
Asymmetric unit:
1 Be 0.000 0.000 0.000 (multiplicity 4)
2 Tl 0.250 0.250 0.250 (multiplicity 4)
3 Fe 0.000 0.000 0.500 (multiplicity 4)
4 Tc 0.250 0.250 0.750 (multiplicity 4)

=====

Crystalline TaCoAgB at its relaxed geometry, computed with PBE-GGA.

Output
The value obtained for the total energy is -6.45 eV/atom. The energy above the most stable polymorph in this dataset is 0 kJ/mol of formula units.

Cell lengths 5.939, 5.939, 5.939 Å; angles 90.00, 90.00, 90.00 degrees
Space group F-43m (No. 216)
Asymmetric unit:
1 Ta 0.000 0.000 0.000 (multiplicity 4)
2 Co 0.000 0.000 0.500 (multiplicity 4)
3 Ag 0.250 0.250 0.750 (multiplicity 4)
4 B 0.250 0.250 0.250 (multiplicity 4)

=====

Repeat the fourth record exactly.
Crystalline TaCoAgB at its relaxed geometry, computed with PBE-GGA.

Output
The value obtained for the total energy is -6.45 eV/atom. The energy above the most stable polymorph in this dataset is 0 kJ/mol of formula units.

Cell lengths 5.939, 5.939, 5.939 Å; angles 90.00, 90.00, 90.00 degrees
Space group F-43m (No. 216)
Asymmetric unit:
1 Ta 0.000 0.000 0.000 (multiplicity 4)
2 Co 0.000 0.000 0.500 (multiplicity 4)
3 Ag 0.250 0.250 0.750 (multiplicity 4)
4 B 0.250 0.250 0.250 (multiplicity 4)